Record 1
# ZrTc2Pt

Crystalline ZrTc2Pt at its relaxed geometry (PBE-GGA, Alexandria).

Cell: 2.9579 3.8086 5.8947 Å, 90.00 90.00 90.00°
Space group Pmm2 (No. 25)
Asymmetric unit:
Zr: 0.0000 0.0000 0.0000
Tc: 0.0000 0.0000 0.5198
Tc: 0.5000 0.5000 0.7102
Pt: 0.5000 0.5000 0.2456

Properties
**Energy of formation from the pure elements**: -1.093 eV/f.u.
**DFT total energy**: -9.10 eV per atom
**Energy above the lowest structure with this stoichiometry**: 22 kJ/mol of formula units
**V**: 16.601 A^3/atom


Record 2
# ZrTcPt2

Crystalline ZrTcPt2 at its relaxed geometry (PBE-GGA, Alexandria).

Cell: 3.9841 3.9841 4.1303 Å, 90.00 90.00 90.00°
Space group P4/mmm (No. 123)
Asymmetric unit:
Zr: 0.0000 0.0000 0.0000
Tc: 0.5000 0.5000 0.0000
Pt: 0.0000 0.5000 0.5000

Properties
**Energy of formation from the pure elements**: -2.665 eV/f.u.
**DFT total energy**: -8.42 eV per atom
**Energy above the lowest structure with this stoichiometry**: 0 kJ/mol of formula units
**V**: 16.390 A^3/atom


Record 3
# ZrTc2Pt

Crystalline ZrTc2Pt at its relaxed geometry (PBE-GGA, Alexandria).

Cell: 4.8360 2.9143 4.8509 Å, 90.00 107.12 90.00°
Space group P2/m (No. 10)
Asymmetric unit:
Zr: 0.0000 0.0000 0.0000
Tc: 0.0000 0.5000 0.5000
Tc: 0.5000 0.0000 0.5000
Pt: 0.5000 0.5000 0.0000

Properties
**Energy of formation from the pure elements**: -0.845 eV/f.u.
**DFT total energy**: -9.04 eV per atom
**Energy above the lowest structure with this stoichiometry**: 46 kJ/mol of formula units
**V**: 16.335 A^3/atom


Record 4
# ZrTc2Pt

Crystalline ZrTc2Pt at its relaxed geometry (PBE-GGA, Alexandria).

Cell: 2.7810 2.7810 8.5472 Å, 90.00 90.00 90.00°
Space group P4/mmm (No. 123)
Asymmetric unit:
Zr: 0.0000 0.0000 0.0000
Tc: 0.5000 0.5000 0.2706
Pt: 0.0000 0.0000 0.5000

Properties
**Energy of formation from the pure elements**: 0.068 eV/f.u.
**DFT total energy**: -8.81 eV per atom
**Energy above the lowest structure with this stoichiometry**: 134 kJ/mol of formula units
**V**: 16.526 A^3/atom


Record 5
# ZrTcPt2

Crystalline ZrTcPt2 at its relaxed geometry (PBE-GGA, Alexandria).

Cell: 2.8341 4.0886 5.6864 Å, 90.00 90.11 90.00°
Space group P2/m (No. 10)
Asymmetric unit:
Zr: 0.0000 0.0000 0.0000
Tc: 0.0000 0.0000 0.5000
Pt: 0.5003 0.5000 0.2642

Properties
**Energy of formation from the pure elements**: -2.186 eV/f.u.
**DFT total energy**: -8.30 eV per atom
**Energy above the lowest structure with this stoichiometry**: 46 kJ/mol of formula units
**V**: 16.473 A^3/atom


Record 6
# ZrTc2Pt

Crystalline ZrTc2Pt at its relaxed geometry (PBE-GGA, Alexandria).

Cell: 6.4131 6.4131 6.4131 Å, 90.00 90.00 90.00°
Space group Fm-3m (No. 225)
Asymmetric unit:
Zr: 0.0000 0.0000 0.0000
Tc: 0.2500 0.2500 0.2500
Pt: 0.0000 0.0000 0.5000

Properties
**Energy of formation from the pure elements**: 0.054 eV/f.u.
**DFT total energy**: -8.82 eV per atom
**Energy above the lowest structure with this stoichiometry**: 133 kJ/mol of formula units
**V**: 16.485 A^3/atom


Record 7
# ZrTc2Pt

Crystalline ZrTc2Pt at its relaxed geometry (PBE-GGA, Alexandria).

Cell: 3.9721 3.9721 8.3323 Å, 90.00 90.00 90.00°
Space group I4/mmm (No. 139)
Asymmetric unit:
Zr: 0.0000 0.0000 0.0000
Tc: 0.0000 0.5000 0.2500
Pt: 0.0000 0.0000 0.5000

Properties
**Energy of formation from the pure elements**: -0.752 eV/f.u.
**DFT total energy**: -9.02 eV per atom
**Energy above the lowest structure with this stoichiometry**: 55 kJ/mol of formula units
**V**: 16.433 A^3/atom


Record 8
# ZrTcPt2

Crystalline ZrTcPt2 at its relaxed geometry (PBE-GGA, Alexandria).

Cell: 2.8538 2.8538 28.4849 Å, 90.00 90.00 120.00°
Space group R3m (No. 160, hexagonal axes)
Asymmetric unit:
Zr: 0.0000 0.0000 0.0000
Tc: 0.0000 0.0000 0.7561
Pt: 0.0000 0.0000 0.2497
Pt: 0.0000 0.0000 0.4983

Properties
**Energy of formation from the pure elements**: -0.508 eV/f.u.
**DFT total energy**: -7.88 eV per atom
**Energy above the lowest structure with this stoichiometry**: 208 kJ/mol of formula units
**V**: 16.742 A^3/atom


Record 9
# ZrTc2Pt

Crystalline ZrTc2Pt at its relaxed geometry (PBE-GGA, Alexandria).

Cell: 5.6731 8.0469 2.8574 Å, 90.00 90.00 90.00°
Space group Cmmm (No. 65)
Asymmetric unit:
Zr: 0.0000 0.0000 0.0000
Tc: 0.2500 0.2500 0.5000
Pt: 0.0000 0.5000 0.0000

Properties
**Energy of formation from the pure elements**: -0.417 eV/f.u.
**DFT total energy**: -8.93 eV per atom
**Energy above the lowest structure with this stoichiometry**: 87 kJ/mol of formula units
**V**: 16.305 A^3/atom


Record 10
# TePt2

Crystalline TePt2 at its relaxed geometry (PBE-GGA, Alexandria).

Cell: 4.6979 4.6979 2.9804 Å, 90.00 90.00 120.00°
Space group P6/mmm (No. 191)
Asymmetric unit:
Te: 0.0000 0.0000 0.0000
Pt: 0.3333 0.6667 0.5000

Properties
**E_form (uncorrected)**: 29 kJ/mol of atoms
**DFT total energy**: -4.78 eV per atom
**Energy above the lowest structure with this stoichiometry**: 138 kJ/mol of formula units
**V**: 18.988 A^3/atom


Record 11
# TePt2

Crystalline TePt2 at its relaxed geometry (PBE-GGA, Alexandria).

Cell: 3.8152 8.0895 3.6597 Å, 90.00 90.00 90.00°
Space group Pnnm (No. 58)
Asymmetric unit:
Te: 0.0000 0.0000 0.0000
Pt: 0.1062 0.3279 0.0000

Properties
**E_form (uncorrected)**: -3 kJ/mol of atoms
**DFT total energy**: -5.10 eV per atom
**Energy above the lowest structure with this stoichiometry**: 44 kJ/mol of formula units
**V**: 18.825 A^3/atom


Record 12
# Te2Pt

Crystalline Te2Pt at its relaxed geometry (PBE-GGA, Alexandria).

Cell: 4.6012 4.6012 8.2938 Å, 90.00 90.00 120.00°
Space group P6_3/mmc (No. 194)
Asymmetric unit:
Te: 0.0000 0.0000 0.0000
Te: 0.3333 0.6667 0.2500
Pt: 0.3333 0.6667 0.7500

Properties
**E_form (uncorrected)**: 25 kJ/mol of atoms
**DFT total energy**: -3.84 eV per atom
**V**: 25.344 A^3/atom